[1]
Compound: Ba3HoPd2O9
Source: Alexandria via LeMat-Bulk
Functional: PBE
Structure: relaxed

Geometry as extended XYZ:
```
15
Lattice="5.889 0.000 0.000 -2.944 5.100 0.000 0.000 0.000 7.275" Properties=species:S:1:pos:R:3 pbc="T T T"
Ba 0.000 3.400 4.972
Ba 0.000 0.000 0.000
Ba 2.944 1.700 2.303
Ho 0.000 0.000 3.637
Pd 0.000 3.400 1.202
Pd 2.944 1.700 6.072
O 4.350 0.889 4.930
O 2.944 3.323 4.930
O 1.539 0.889 4.930
O 1.405 4.211 2.345
O 0.000 1.777 2.345
O -1.405 4.211 2.345
O 2.944 0.000 0.000
O -1.472 2.550 0.000
O 1.472 2.550 0.000
```

Symmetry ... P-3m1 (164)
Formation energy (no corrections) ... -1.841 eV per atom

=====

[2]
Compound: NaPrCdSn
Source: Alexandria via LeMat-Bulk
Functional: PBE
Structure: relaxed

Geometry as extended XYZ:
```
4
Lattice="-0.822 3.385 -2.669 -2.353 -2.942 -3.008 -4.470 0.944 2.573" Properties=species:S:1:pos:R:3 pbc="T T T"
Na -1.587 0.221 -2.838
Pr -2.646 2.164 -0.048
Cd 0.000 0.000 0.000
Sn -3.411 -0.999 -0.217
```

Symmetry ... Pmmm (47)
Formation energy ... -377 meV/atom

=====

[3]
Compound: K2CdInAg2
Source: Alexandria via LeMat-Bulk
Functional: PBE
Structure: relaxed

Geometry as extended XYZ:
```
12
Lattice="-1.950 2.197 -6.406 -4.307 -6.667 -0.975 -2.419 5.413 6.469" Properties=species:S:1:pos:R:3 pbc="T T T"
K -6.125 -2.673 -2.928
K -3.119 -0.627 0.734
K -5.557 1.569 -1.647
K -2.551 3.615 2.016
Cd -3.616 -1.686 -5.292
Cd -2.641 -2.784 -2.089
In -0.488 0.549 -1.601
In -1.463 1.648 -4.804
Ag -5.819 1.047 2.131
Ag -2.857 -0.105 -3.043
Ag -4.038 -4.541 -0.328
Ag -4.639 5.483 -0.584
```

Symmetry ... Ibam (72)
Formation energy ... -34 meV/atom

=====

[4]
Compound: SrTcN3
Source: Alexandria via LeMat-Bulk
Functional: PBE
Structure: relaxed

Geometry as extended XYZ:
```
10
Lattice="4.018 0.000 0.000 0.000 4.018 0.000 2.009 2.009 9.935" Properties=species:S:1:pos:R:3 pbc="T T T"
Sr 4.018 2.009 6.742
Sr 4.018 2.009 3.194
Tc 0.000 0.000 0.000
Tc 2.009 4.018 4.968
N 1.393 4.018 1.312
N 2.009 4.634 8.623
N 2.009 3.402 8.623
N 2.625 4.018 1.312
N 2.009 2.009 4.953
N 4.018 4.018 4.983
```

Symmetry ... I-4m2 (119)
Formation energy (no corrections) ... -0.202 eV per atom

=====

[5]
Compound: TbDyTm5Th2
Source: Alexandria via LeMat-Bulk
Functional: PBE
Structure: relaxed

Geometry as extended XYZ:
```
18
Lattice="-4.135 4.419 6.259 -1.161 -7.392 4.451 9.284 2.608 -1.763" Properties=species:S:1:pos:R:3 pbc="T T T"
Tb 2.738 -3.135 4.022
Tb 1.251 2.770 4.926
Dy 3.318 0.561 1.796
Dy 0.670 -0.926 7.151
Tm -1.742 1.662 7.242
Tm 3.820 3.641 3.465
Tm 5.730 -2.027 1.705
Tm 5.980 2.022 -0.020
Tm 3.570 -0.408 5.190
Tm -1.992 -2.387 8.968
Tm 0.418 0.043 3.757
Tm 0.168 -4.006 5.482
Tm -2.648 -1.486 5.355
Tm 0.000 0.000 0.000
Th -0.935 -2.288 2.441
Th -2.699 1.855 4.406
Th -2.597 -4.828 6.304
Th -4.361 -0.685 8.269
```

Symmetry ... I4/mcm (140)
Formation energy ... 349 meV/atom

=====

[6]
Compound: Ca2CdClO
Source: Alexandria via LeMat-Bulk
Functional: PBE
Structure: relaxed

Geometry as extended XYZ:
```
5
Lattice="-0.752 4.658 0.034 -4.467 -0.744 3.202 2.693 0.407 3.852" Properties=species:S:1:pos:R:3 pbc="T T T"
Ca 1.347 0.203 1.926
Ca -0.376 2.329 0.017
Cl -1.263 2.160 3.544
O 0.000 0.000 0.000
Cd -2.234 -0.372 1.601
```

Symmetry ... P4/mmm (123)
Formation energy (no corrections) ... -1.248 eV per atom

=====

[7]
Compound: Ac3Ni3Sn
Source: Alexandria via LeMat-Bulk
Functional: PBE
Structure: relaxed

Geometry as extended XYZ:
```
14
Lattice="5.854 0.000 0.000 0.000 8.984 0.000 0.000 -4.492 7.781" Properties=species:S:1:pos:R:3 pbc="T T T"
Ac 4.390 3.414 4.982
Ac 4.390 2.962 0.465
Ac 4.390 7.100 2.333
Ac 1.463 1.078 2.798
Ac 1.463 1.530 7.315
Ac 1.463 -2.608 5.448
Ni 1.463 3.353 4.871
Ni 1.463 3.090 0.469
Ni 1.463 7.034 2.441
Ni 4.390 1.139 2.910
Ni 4.390 1.403 7.312
Ni 4.390 -2.541 5.339
Sn 1.463 4.492 2.594
Sn 4.390 0.000 5.187
```

E above lowest polymorph ... 17.8 kJ/mol of atoms
Symmetry ... P6_3/m (176)
Formation energy ... -199 meV/atom

=====

[8]
Compound: Ca3Os5N12
Source: Alexandria via LeMat-Bulk
Functional: PBE
Structure: relaxed

Geometry as extended XYZ:
```
80
Lattice="11.099 0.000 0.000 -3.700 10.464 0.000 -3.700 -5.232 9.062" Properties=species:S:1:pos:R:3 pbc="T T T"
Ca 6.474 3.270 1.133
Ca 6.474 7.194 1.133
Ca -0.925 4.578 5.664
Ca 0.925 -0.654 3.398
Ca 8.324 0.000 2.266
Ca 0.925 5.232 2.266
Ca 2.775 0.000 6.797
Ca -4.625 5.232 6.797
Ca 2.775 5.886 5.664
Ca 4.625 0.654 3.398
Ca -2.775 -1.962 7.930
Ca -2.775 1.962 7.930
Os -0.925 2.616 2.266
Os -1.850 5.232 0.000
Os 0.000 0.000 0.000
Os 2.775 1.962 1.133
Os 3.700 -2.616 4.531
Os 3.700 5.232 0.000
Os -2.775 5.886 3.398
Os 4.625 -3.270 7.930
Os 4.625 4.578 3.398
Os 0.925 -2.616 6.797
Os 2.775 7.848 2.266
Os 1.850 2.616 4.531
Os 5.550 0.000 0.000
Os -1.850 -2.616 4.531
Os -0.925 0.654 5.664
Os -0.925 8.502 1.133
Os -3.700 2.616 4.531
Os 6.474 -0.654 5.664
Os 0.925 3.270 7.930
Os 4.625 2.616 6.797
N 7.216 1.134 0.061
N 0.183 3.236 3.580
N 8.439 2.439 2.812
N 4.509 1.400 1.013
N 1.336 3.644 6.189
N 8.109 5.374 1.657
N -1.040 6.271 3.825
N -2.660 9.064 1.013
N 0.514 6.820 6.189
N 4.840 5.090 1.657
N 5.733 3.130 3.518
N 5.733 9.330 0.061
N -3.186 4.565 4.593
N 2.559 3.726 0.706
N -3.883 7.334 3.518
N 2.033 -1.996 5.483
N -0.514 0.922 1.719
N 2.559 6.597 0.952
N 4.509 8.025 2.812
N -0.710 3.868 0.952
N -2.364 6.154 7.344
N 2.890 4.193 3.825
N 5.036 5.899 4.593
N 4.409 -1.506 8.356
N 0.810 1.039 5.237
N -1.336 -0.667 4.470
N -0.710 6.739 0.706
N -0.810 -2.793 6.250
N 6.063 -0.922 1.719
N 4.409 1.365 8.111
N 1.140 -1.365 8.111
N 1.667 7.228 3.580
N 4.213 4.311 7.344
N 7.583 -2.102 5.544
N 6.886 0.667 4.470
N -2.033 -4.098 9.001
N 1.140 1.506 8.356
N 3.186 -1.588 2.874
N -1.140 0.142 7.405
N -2.033 2.102 5.544
N 6.359 -3.832 8.049
N 4.740 -1.039 5.237
N -0.810 3.832 8.049
N -4.409 -0.142 7.405
N 2.364 1.588 2.874
N -4.740 2.793 6.250
N 3.516 1.996 5.483
N -3.516 4.098 9.001
```

Symmetry ... Ia-3d (230)
Formation energy (no corrections) ... -0.048 eV per atom

=====

DFT total energy / eV per atom: -6.198; -3.132; -1.959; -7.607; -4.810; -3.592; -5.009; -8.151